{"formula": "HoLuIrPb", "functional": "PBE", "state": "relaxed", "volume_a3_per_atom": 23.13, "energy_ev_per_cell": -23.6, "ef_ev_per_atom": -0.4952, "density_g_cm3": 13.27, "lattice": [[0.000, 3.590, 3.590], [3.590, 0.000, 3.590], [3.590, 3.590, 0.000]], "species": ["Ho", "Lu", "Ir", "Pb"], "frac_coords": [[0.000, 0.000, 0.000], [0.500, 0.500, 0.500], [0.750, 0.750, 0.750], [0.250, 0.250, 0.250]]}

***

{"formula": "AcTbNd2As4", "functional": "PBE", "state": "relaxed", "volume_a3_per_atom": 28.42, "energy_ev_per_cell": -48.7, "ef_ev_per_atom": -1.4759, "density_g_cm3": 7.12, "lattice": [[7.471, 0.000, 0.000], [0.000, 4.316, 0.000], [-2.479, 0.000, 7.050]], "species": ["Ac", "Tb", "Nd", "Nd", "As", "As", "As", "As"], "frac_coords": [[0.000, 0.000, 0.000], [0.500, 0.500, 0.000], [0.000, 0.500, 0.500], [0.500, 0.000, 0.500], [0.260, 0.000, 0.751], [0.262, 0.500, 0.257], [0.738, 0.500, 0.743], [0.740, 0.000, 0.249]]}

***

{"formula": "BeRe3Tc", "functional": "PBE", "state": "relaxed", "volume_a3_per_atom": 20.14, "energy_ev_per_cell": -39.3, "ef_ev_per_atom": 2.4279, "de_polymorph_mev_per_atom": 1791.1, "density_g_cm3": 10.98, "lattice": [[4.652, 0.000, 0.000], [0.000, 4.652, 0.000], [0.000, 0.000, 4.652]], "species": ["Be", "Re", "Re", "Re", "Tc"], "frac_coords": [[0.000, 0.000, 0.000], [0.000, 0.500, 0.500], [0.500, 0.000, 0.500], [0.500, 0.500, 0.000], [0.500, 0.500, 0.500]]}

***

{"formula": "LiCuBi2", "functional": "PBE", "state": "relaxed", "volume_a3_per_atom": 22.43, "energy_ev_per_cell": -13.8, "ef_ev_per_atom": -0.0120, "de_polymorph_mev_per_atom": 20.0, "density_g_cm3": 9.04, "lattice": [[0.000, 3.553, 3.553], [3.553, 0.000, 3.553], [3.553, 3.553, 0.000]], "species": ["Li", "Cu", "Bi", "Bi"], "frac_coords": [[0.000, 0.000, 0.000], [0.500, 0.500, 0.500], [0.250, 0.250, 0.250], [0.750, 0.750, 0.750]]}

***

{"formula": "Nd8SiRh3Br4", "functional": "PBE", "state": "relaxed", "volume_a3_per_atom": 29.31, "energy_ev_per_cell": -88.6, "e_form_raw_ev_per_atom": -1.02, "density_g_cm3": 6.41, "lattice": [[4.196, 2.422, 7.690], [-4.196, 2.422, 7.690], [0.000, -4.845, 7.690]], "species": ["Nd", "Nd", "Nd", "Nd", "Nd", "Nd", "Nd", "Nd", "Si", "Rh", "Rh", "Rh", "Br", "Br", "Br", "Br"], "frac_coords": [[0.223, 0.738, 0.738], [0.234, 0.234, 0.234], [0.262, 0.262, 0.777], [0.262, 0.777, 0.262], [0.738, 0.223, 0.738], [0.738, 0.738, 0.223], [0.766, 0.766, 0.766], [0.777, 0.262, 0.262], [0.500, 0.500, 0.500], [0.000, 0.000, 0.500], [0.000, 0.500, 0.000], [0.500, 0.000, 0.000], [0.000, 0.000, 0.000], [0.000, 0.500, 0.500], [0.500, 0.000, 0.500], [0.500, 0.500, 0.000]]}

***

{"formula": "Li2SbBr", "functional": "PBE", "state": "relaxed", "volume_a3_per_atom": 22.65, "energy_ev_per_cell": -12.8, "de_polymorph_mev_per_atom": 80.8, "e_form_raw_ev_per_atom": -0.79, "density_g_cm3": 3.95, "lattice": [[3.418, 0.000, 0.000], [0.000, 3.386, 0.000], [-0.898, 0.000, 7.829]], "species": ["Li", "Li", "Sb", "Br"], "frac_coords": [[0.155, 0.000, 0.275], [0.845, 0.000, 0.725], [0.500, 0.500, 0.000], [0.000, 0.500, 0.500]]}

***

{"formula": "Ba2SrSm", "functional": "PBE", "state": "relaxed", "volume_a3_per_atom": 50.22, "energy_ev_per_cell": -9.6, "ef_ev_per_atom": 0.1495, "de_polymorph_mev_per_atom": 0.0, "density_g_cm3": 4.24, "lattice": [[2.070, 1.195, 13.527], [-2.070, 1.195, 13.527], [0.000, -2.391, 13.527]], "species": ["Ba", "Ba", "Sr", "Sm"], "frac_coords": [[0.000, 0.000, 0.000], [0.154, 0.154, 0.154], [0.577, 0.577, 0.577], [0.410, 0.410, 0.410]]}

***

{"formula": "TiIn2Au", "functional": "PBE", "state": "relaxed", "volume_a3_per_atom": 20.19, "energy_ev_per_cell": -16.5, "ef_ev_per_atom": 0.0264, "de_polymorph_mev_per_atom": 232.7, "density_g_cm3": 9.76, "lattice": [[0.000, 3.430, 3.430], [3.430, 0.000, 3.430], [3.430, 3.430, 0.000]], "species": ["Ti", "In", "In", "Au"], "frac_coords": [[0.000, 0.000, 0.000], [0.250, 0.250, 0.250], [0.750, 0.750, 0.750], [0.500, 0.500, 0.500]]}

***

{"formula": "Pr2ThPt9", "functional": "PBE", "state": "relaxed", "volume_a3_per_atom": 19.39, "energy_ev_per_cell": -82.7, "ef_ev_per_atom": -0.9423, "density_g_cm3": 16.20, "lattice": [[2.732, 1.577, 8.998], [-2.732, 1.577, 8.998], [0.000, -3.155, 8.998]], "species": ["Pr", "Pr", "Th", "Pt", "Pt", "Pt", "Pt", "Pt", "Pt", "Pt", "Pt", "Pt"], "frac_coords": [[0.140, 0.140, 0.140], [0.860, 0.860, 0.860], [0.000, 0.000, 0.000], [0.081, 0.585, 0.585], [0.333, 0.333, 0.333], [0.415, 0.415, 0.919], [0.415, 0.919, 0.415], [0.500, 0.500, 0.500], [0.585, 0.081, 0.585], [0.585, 0.585, 0.081], [0.667, 0.667, 0.667], [0.919, 0.415, 0.415]]}

***

{"formula": "CsUTl2O6", "functional": "PBE", "state": "relaxed", "volume_a3_per_atom": 18.07, "energy_ev_per_cell": -126.7, "e_form_raw_ev_per_atom": -1.67, "density_g_cm3": 8.05, "lattice": [[6.084, -4.160, 0.000], [6.084, 4.160, 0.000], [-4.150, 0.000, 7.141]], "species": ["Cs", "Cs", "U", "U", "Tl", "Tl", "Tl", "Tl", "O", "O", "O", "O", "O", "O", "O", "O", "O", "O", "O", "O"], "frac_coords": [[0.240, 0.760, 0.750], [0.760, 0.240, 0.250], [0.257, 0.743, 0.250], [0.743, 0.257, 0.750], [0.252, 0.253, 0.242], [0.253, 0.252, 0.742], [0.747, 0.748, 0.258], [0.748, 0.747, 0.758], [0.004, 0.175, 0.938], [0.079, 0.582, 0.324], [0.175, 0.004, 0.438], [0.333, 0.466, 0.069], [0.418, 0.921, 0.176], [0.466, 0.333, 0.569], [0.534, 0.667, 0.431], [0.582, 0.079, 0.824], [0.667, 0.534, 0.931], [0.825, 0.996, 0.562], [0.921, 0.418, 0.676], [0.996, 0.825, 0.062]]}

***

{"formula": "ZrIr2Ru", "functional": "PBE", "state": "relaxed", "volume_a3_per_atom": 15.83, "energy_ev_per_cell": -37.3, "ef_ev_per_atom": -0.4508, "de_polymorph_mev_per_atom": 79.6, "density_g_cm3": 15.13, "lattice": [[-1.987, 1.987, 4.010], [1.987, -1.987, 4.010], [1.987, 1.987, -4.010]], "species": ["Zr", "Ir", "Ir", "Ru"], "frac_coords": [[0.000, 0.000, 0.000], [0.250, 0.750, 0.500], [0.750, 0.250, 0.500], [0.500, 0.500, 0.000]]}

***

{"formula": "PmBe2Co2C", "functional": "PBE", "state": "relaxed", "volume_a3_per_atom": 12.35, "energy_ev_per_cell": -36.7, "ef_ev_per_atom": -0.1755, "density_g_cm3": 6.56, "lattice": [[3.763, 0.000, 0.000], [0.000, 3.763, 0.000], [0.000, 0.000, 5.236]], "species": ["Pm", "Be", "Be", "Co", "Co", "C"], "frac_coords": [[0.000, 0.000, 0.000], [0.500, 0.500, 0.251], [0.500, 0.500, 0.749], [0.000, 0.500, 0.500], [0.500, 0.000, 0.500], [0.000, 0.000, 0.500]]}

***

{"formula": "LaIn2As", "functional": "PBE", "state": "relaxed", "volume_a3_per_atom": 26.20, "energy_ev_per_cell": -16.3, "ef_ev_per_atom": -0.3206, "density_g_cm3": 7.03, "lattice": [[3.894, 0.000, 0.000], [0.000, 3.894, 0.000], [0.000, 0.000, 6.913]], "species": ["La", "In", "In", "As"], "frac_coords": [[0.000, 0.000, 0.000], [0.500, 0.500, 0.292], [0.500, 0.500, 0.708], [0.000, 0.000, 0.500]]}